Entry from Alexandria: crystalline RbTl3Cl4 at its relaxed geometry (PBE-GGA).

Unit cell a=4.636 b=8.021 c=8.021 alpha=70.53 beta=89.99 gamma=89.99
Element x y z (fractional)
Cl 0.000 0.753 0.747
Rb 0.500 0.500 0.000
Cl 0.499 0.249 0.749
Tl 0.500 0.000 0.500
Tl 0.000 0.000 0.000
Cl 0.000 0.248 0.253
Cl 0.500 0.751 0.251
Tl 0.000 0.500 0.500

Output
VASP energy: -3.18 eV/atom
theoretical density: 4.96 Mg/m³
E_form (uncorrected): -1.25 eV per atom
N(E_F): 0.0 states/eV per cell